Entry 1:
VASP calculation (GGA-PBE) on crystalline IrPb2I at its relaxed geometry.

## Properties
As for the raw formation energy: 2.545 eV per formula unit. For the calculated density, the calculation gives 11.5 g/cm3.

a = 5.316 Å, b = 5.316 Å, c = 5.316 Å
α = 60.00°, β = 60.00°, γ = 60.00°
Atoms (fractional coordinates):
Ir (0.000, 0.000, 0.000)
Pb (0.250, 0.250, 0.250)
Pb (0.750, 0.750, 0.750)
I (0.500, 0.500, 0.500)

---

Entry 2:
VASP calculation (GGA-PBE) on crystalline IrPb2I4 at its relaxed geometry.

## Properties
As for the raw formation energy: 0.385 eV per formula unit. For the calculated density, the calculation gives 7.5 g/cm3.

a = 8.926 Å, b = 8.926 Å, c = 8.926 Å
α = 143.74°, β = 143.74°, γ = 52.22°
Atoms (fractional coordinates):
Ir (0.000, 0.000, 0.000)
Pb (0.385, 0.385, 0.000)
Pb (0.615, 0.615, 0.000)
I (0.000, 0.500, 0.500)
I (0.169, 0.169, 0.000)
I (0.500, 0.000, 0.500)
I (0.831, 0.831, 0.000)

---

Entry 3:
VASP calculation (GGA-PBE) on crystalline IrPbI2 at its relaxed geometry.

## Properties
As for the raw formation energy: 2.139 eV per formula unit. For the calculated density, the calculation gives 7.4 g/cm3.

a = 7.810 Å, b = 7.810 Å, c = 7.810 Å
α = 126.96°, β = 126.96°, γ = 78.31°
Atoms (fractional coordinates):
Ir (0.000, 0.000, 0.000)
Ir (0.750, 0.250, 0.500)
Pb (0.250, 0.750, 0.500)
Pb (0.500, 0.500, 0.000)
I (0.050, 0.625, 0.925)
I (0.375, 0.300, 0.425)
I (0.700, 0.125, 0.075)
I (0.875, 0.950, 0.575)

---

Entry 4:
VASP calculation (GGA-PBE) on crystalline Pr4IrPbI2 at its relaxed geometry.

## Properties
As for the raw formation energy: -6.664 eV per formula unit. For the calculated density, the calculation gives 7.3 g/cm3.

a = 7.994 Å, b = 4.360 Å, c = 8.351 Å
α = 90.00°, β = 107.38°, γ = 90.00°
Atoms (fractional coordinates):
Pr (0.206, 0.000, 0.190)
Pr (0.232, 0.500, 0.800)
Pr (0.768, 0.500, 0.200)
Pr (0.794, 0.000, 0.810)
Ir (0.000, 0.500, 0.000)
Pb (0.500, 0.000, 0.000)
I (0.000, 0.000, 0.500)
I (0.500, 0.500, 0.500)

---

In the order shown, the computed density of states at the Fermi level values come out to 0.27; 0.60; 0.96; 0.83 states/eV/atom.